#1
Computed, not measured: a geometry-optimized LiScS2N structure at the PBE level of DFT.

abc: 4.9875 4.9875 4.2608
angles: 90.00 90.00 90.00
With the nearest neighbours (Å) after each atom.
Space group P4/mmm (No. 123)
Inequivalent atoms, fractional coordinates:
Li 0.0000 0.0000 0.0000  8 S 3.28, 4 N 3.53
Sc 0.5000 0.5000 0.5000  2 N 2.13
S 0.0000 0.5000 0.5000  2 Sc 2.49
N 0.5000 0.5000 0.0000  2 Sc 2.13

Calculated values
- Calculated density: 2.037 g cm⁻³
- Magnetization: 2.42 μB/cell


#2
Computed, not measured: a geometry-optimized LiScS2N structure at the PBE level of DFT.

abc: 4.4766 4.4766 3.5920
angles: 90.00 90.00 90.00
With the nearest neighbours (Å) after each atom.
Space group P4/mmm (No. 123)
Inequivalent atoms, fractional coordinates:
Li 0.0000 0.0000 0.0000  2 N 1.80
Sc 0.5000 0.5000 0.5000  8 S 2.87, 4 N 3.17
S 0.0000 0.5000 0.0000  2 Li 2.24
N 0.0000 0.0000 0.5000  2 Li 1.80

Calculated values
- Calculated density: 3.000 g cm⁻³
- Magnetization: 0.05 μB/cell


#1 (330 meV/atom below the next structure)


#1
Computed, not measured: a geometry-optimized LiSnS2N structure at the PBE level of DFT.

abc: 5.0850 5.0850 4.1773
angles: 90.00 90.00 90.00
With the nearest neighbours (Å) after each atom.
Space group P4/mmm (No. 123)
Inequivalent atoms, fractional coordinates:
Li 0.0000 0.0000 0.0000  8 S 3.29, 4 N 3.60
Sn 0.5000 0.5000 0.5000  2 N 2.09
S 0.0000 0.5000 0.5000  2 Sn 2.54
N 0.5000 0.5000 0.0000  2 Sn 2.09

Calculated values
- Calculated density: 3.133 g cm⁻³
- Magnetization: 1.76 μB/cell


#2
Computed, not measured: a geometry-optimized LiSnS2N structure at the PBE level of DFT.

abc: 4.7431 4.7431 3.9179
angles: 90.00 90.00 90.00
With the nearest neighbours (Å) after each atom.
Space group P4/mmm (No. 123)
Inequivalent atoms, fractional coordinates:
Li 0.0000 0.0000 0.0000  2 N 1.96
Sn 0.5000 0.5000 0.5000  8 S 3.08, 4 N 3.35
S 0.0000 0.5000 0.0000  2 Li 2.37
N 0.0000 0.0000 0.5000  2 Li 1.96

Calculated values
- Calculated density: 3.839 g cm⁻³
- Magnetization: 3.18 μB/cell


#1 (298 meV/atom below the next structure)


#1
Computed, not measured: a geometry-optimized SrLiSN2 structure at the PBE level of DFT.

abc: 4.9358 4.9358 5.8264
angles: 90.00 90.00 90.00
With the nearest neighbours (Å) after each atom.
Space group P4/mmm (No. 123)
Inequivalent atoms, fractional coordinates:
Sr 0.0000 0.0000 0.0000  4 N 2.47
Li 0.5000 0.5000 0.5000  4 S 3.49, 8 N 3.82
S 0.0000 0.0000 0.5000  2 Sr 2.91
N 0.0000 0.5000 0.0000  2 Sr 2.47

Calculated values
- Calculated density: 1.809 g cm⁻³
- Magnetization: 4.96 μB/cell


#2
Computed, not measured: a geometry-optimized SrLiSN2 structure at the PBE level of DFT.

abc: 4.2816 4.2816 4.6619
angles: 90.00 90.00 90.00
With the nearest neighbours (Å) after each atom.
Space group P4/mmm (No. 123)
Inequivalent atoms, fractional coordinates:
Sr 0.0000 0.0000 0.0000  4 S 3.03, 8 N 3.16
Li 0.5000 0.5000 0.5000  4 N 2.14, 2 S 2.33
S 0.5000 0.5000 0.0000  2 Li 2.33
N 0.0000 0.5000 0.5000  2 Li 2.14

Calculated values
- Calculated density: 3.005 g cm⁻³
- Magnetization: 4.97 μB/cell


#2 (467 meV/atom below the next structure)